# Sr2YMo PBE optimized geometry
data_Sr2YMo
_chemical_formula_sum 'Sr4 Y2 Mo2'
_symmetry_space_group_name_H-M 'C 1 m 1'
_symmetry_Int_Tables_number 8
_cell_length_a 9.5901
_cell_length_b 3.5666
_cell_length_c 8.3675
_cell_angle_alpha 90.00
_cell_angle_beta 96.30
_cell_angle_gamma 90.00
loop_
_symmetry_equiv_pos_as_xyz
'x,y,z'
'x,-y,z'
'x+1/2,y+1/2,z'
'x+1/2,-y+1/2,z'
loop_
_atom_site_label
_atom_site_type_symbol
_atom_site_fract_x
_atom_site_fract_y
_atom_site_fract_z
Sr1 Sr 0.0000 0.0000 0.0000
Sr2 Sr 0.2191 0.0000 0.6267
Y1 Y 0.4563 0.0000 0.3561
Mo1 Mo 0.2241 0.5000 0.2606
# Calculated total energy   -35.68 eV/cell
# Spin magnetization   1.714 μB/cell
# E_form   0.705 eV/atom
# Distance to the lowest polymorph of the same formula   186 meV per atom